Entry 1:
This record from the Alexandria database describes a relaxed Na2AgPd2 crystal. The functional is PBE-GGA.

It has space group Immm (No. 71), with a = 4.5664 Å, b = 5.4252 Å, c = 8.7326 Å, α = 90.00°, β = 90.00° and γ = 90.00°. Symmetry generates all atoms from Na at (0.0000, 0.0000, 0.1984), Ag at (0.0000, 0.5000, 0.0000) and Pd at (0.0000, 0.2590, 0.5000).

The value obtained for the total moment is 0.00 μB per atom. The value obtained for the distance to the lowest polymorph of the same formula is 0.002 eV/atom. The formation energy comes out at -44 meV per atom. For the density of states at the Fermi level, the calculation gives 3.54 states/eV/cell.

---

Entry 2:
This record from the Alexandria database describes a relaxed Sr2MgMn crystal. The functional is PBE-GGA.

It has space group F-43m (No. 216), with a = 7.9300 Å, b = 7.9300 Å, c = 7.9300 Å, α = 90.00°, β = 90.00° and γ = 90.00°. Symmetry generates all atoms from Sr at (0.0000, 0.0000, 0.0000), Sr at (0.2500, 0.2500, 0.2500), Mg at (0.0000, 0.0000, 0.5000) and Mn at (0.2500, 0.2500, 0.7500).

The value obtained for the total moment is 1.10 μB per atom. The formation energy comes out at 401 meV per atom. For the density of states at the Fermi level, the calculation gives 15.40 states/eV/cell.

---

Entry 3:
This record from the Alexandria database describes a relaxed K2CdAu2 crystal. The functional is PBE-GGA.

It has space group P4/mbm (No. 127), with a = 9.2947 Å, b = 9.2947 Å, c = 3.9443 Å, α = 90.00°, β = 90.00° and γ = 90.00°. Symmetry generates all atoms from K at (0.1443, 0.3557, 0.0000), Cd at (0.0000, 0.0000, 0.0000) and Au at (0.1521, 0.6521, 0.5000).

The value obtained for the total moment is 0.00 μB per atom. The value obtained for the distance to the lowest polymorph of the same formula is 0.199 eV/atom. The formation energy comes out at -88 meV per atom. For the density of states at the Fermi level, the calculation gives 0.00 states/eV/cell.

---

Entry 4:
This record from the Alexandria database describes a relaxed CeAgAu crystal. The functional is PBE-GGA.

It has space group F-43m (No. 216), with a = 6.8475 Å, b = 6.8475 Å, c = 6.8475 Å, α = 90.00°, β = 90.00° and γ = 90.00°. Symmetry generates all atoms from Ce at (0.0000, 0.0000, 0.0000), Ag at (0.0000, 0.0000, 0.5000) and Au at (0.2500, 0.2500, 0.2500).

The value obtained for the total moment is 0.38 μB per atom. The value obtained for the distance to the lowest polymorph of the same formula is 0.143 eV/atom. The formation energy comes out at -309 meV per atom. For the density of states at the Fermi level, the calculation gives 30.05 states/eV/cell.

---

Entry 5:
This record from the Alexandria database describes a relaxed Tb3Dy2Ho5 crystal. The functional is PBE-GGA.

It has space group Ibam (No. 72), with a = 12.7460 Å, b = 16.7527 Å, c = 6.2429 Å, α = 90.00°, β = 90.00° and γ = 90.00°. Symmetry generates all atoms from Tb at (0.0000, 0.0000, 0.2500), Tb at (0.1588, 0.2490, 0.0000), Dy at (0.1006, 0.1567, 0.5000), Ho at (0.0000, 0.5000, 0.2500), Ho at (0.0990, 0.3435, 0.5000) and Ho at (0.2491, 0.5000, 0.2500).

The value obtained for the total moment is 0.00 μB per atom. The value obtained for the distance to the lowest polymorph of the same formula is 0.152 eV/atom. The formation energy comes out at 354 meV per atom. For the density of states at the Fermi level, the calculation gives 66.13 states/eV/cell.

---

Entry 6:
This record from the Alexandria database describes a relaxed HfScAg crystal. The functional is PBE-GGA.

It has space group P-1 (No. 2), with a = 3.2115 Å, b = 6.4552 Å, c = 6.5005 Å, α = 103.76°, β = 104.26° and γ = 90.08°. Symmetry generates all atoms from Hf at (0.1690, 0.0840, 0.3371), Sc at (0.1566, 0.5813, 0.3138) and Ag at (0.4986, 0.2373, 0.9977).

The value obtained for the total moment is 0.00 μB per atom. The value obtained for the distance to the lowest polymorph of the same formula is 0.031 eV/atom. The formation energy comes out at -110 meV per atom. For the density of states at the Fermi level, the calculation gives 8.23 states/eV/cell.

---

Entry 7:
This record from the Alexandria database describes a relaxed MnIn3S crystal. The functional is PBE-GGA.

It has space group Pm-3m (No. 221), with a = 5.3011 Å, b = 5.3011 Å, c = 5.3011 Å, α = 90.00°, β = 90.00° and γ = 90.00°. Symmetry generates all atoms from Mn at (0.0000, 0.0000, 0.0000), In at (0.0000, 0.5000, 0.5000) and S at (0.5000, 0.5000, 0.5000).

The value obtained for the total moment is 0.88 μB per atom. The value obtained for the distance to the lowest polymorph of the same formula is 0.236 eV/atom. For the density of states at the Fermi level, the calculation gives 3.68 states/eV/cell.

---

Entry 8:
This record from the Alexandria database describes a relaxed Mn2CoRhAu crystal. The functional is PBE-GGA.

It has space group P4/mmm (No. 123), with a = 4.3335 Å, b = 4.3335 Å, c = 4.6525 Å, α = 90.00°, β = 90.00° and γ = 90.00°. Symmetry generates all atoms from Mn at (0.0000, 0.5000, 0.0000), Co at (0.0000, 0.0000, 0.0000), Rh at (0.5000, 0.5000, 0.5000) and Au at (0.0000, 0.0000, 0.5000).

The value obtained for the total moment is 1.76 μB per atom. The formation energy comes out at 953 meV per atom. For the density of states at the Fermi level, the calculation gives 6.34 states/eV/cell.

---

Entry 9:
This record from the Alexandria database describes a relaxed GaHg2Bi crystal. The functional is PBE-GGA.

It has space group R-3m (No. 166, hexagonal axes), with a = 3.3539 Å, b = 3.3539 Å, c = 33.6006 Å, α = 90.00°, β = 90.00° and γ = 120.00°. Symmetry generates all atoms from Ga at (0.0000, 0.0000, 0.0000), Hg at (0.0000, 0.0000, 0.0819) and Bi at (0.0000, 0.0000, 0.5000).

The value obtained for the total moment is 0.00 μB per atom. The value obtained for the distance to the lowest polymorph of the same formula is 0.058 eV/atom. The formation energy comes out at 143 meV per atom. For the density of states at the Fermi level, the calculation gives 8.32 states/eV/cell.

---

Entry 10:
This record from the Alexandria database describes a relaxed SrMg6In6 crystal. The functional is PBE-GGA.

It has space group Immm (No. 71), with a = 6.1464 Å, b = 9.9991 Å, c = 10.5914 Å, α = 90.00°, β = 90.00° and γ = 90.00°. Symmetry generates all atoms from Sr at (0.0000, 0.0000, 0.0000), Mg at (0.0000, 0.2631, 0.5000), Mg at (0.2500, 0.2500, 0.2500), In at (0.0000, 0.0000, 0.3462), In at (0.0000, 0.3485, 0.0000) and In at (0.0000, 0.5000, 0.3179).

The value obtained for the total moment is 0.00 μB per atom. The formation energy comes out at -165 meV per atom. For the density of states at the Fermi level, the calculation gives 11.11 states/eV/cell.

---

Entry 11:
This record from the Alexandria database describes a relaxed AcNd2Ag crystal. The functional is PBE-GGA.

It has space group P4/mmm (No. 123), with a = 3.8203 Å, b = 3.8203 Å, c = 8.9573 Å, α = 90.00°, β = 90.00° and γ = 90.00°. Symmetry generates all atoms from Ac at (0.0000, 0.0000, 0.0000), Nd at (0.5000, 0.5000, 0.2962) and Ag at (0.0000, 0.0000, 0.5000).

The value obtained for the total moment is 0.00 μB per atom. The value obtained for the distance to the lowest polymorph of the same formula is 0.000 eV/atom. The formation energy comes out at -102 meV per atom. For the density of states at the Fermi level, the calculation gives 5.74 states/eV/cell.

---

Entry 12:
This record from the Alexandria database describes a relaxed Zr3Si4Rh7 crystal. The functional is PBE-GGA.

It has space group C2/m (No. 12), with a = 14.7788 Å, b = 3.9170 Å, c = 9.0169 Å, α = 90.00°, β = 124.15° and γ = 90.00°. Symmetry generates all atoms from Zr at (0.0000, 0.0000, 0.0000), Zr at (0.1719, 0.5000, 0.6666), Si at (0.1113, 0.0000, 0.8350), Si at (0.1650, 0.5000, 0.2707), Rh at (0.0000, 0.0000, 0.5000), Rh at (0.0064, 0.5000, 0.2788), Rh at (0.1653, 0.0000, 0.4280) and Rh at (0.1956, 0.5000, 0.0416).

As for the total energy: -225.461 eV/cell. The value obtained for the total moment is 0.00 μB per atom. For the density of states at the Fermi level, the calculation gives 12.85 states/eV/cell.

---

> Look up the total moment of the eighth one.

1.76 μB per atom